Entry 1:
The following is a GGA-PBE calculation of a geometry-optimized Ce8Zn2Tc structure, from Alexandria via LeMat-Bulk.

```
data_Ce8Zn2Tc
_chemical_formula_sum 'Ce16 Zn4 Tc2'
_cell_length_a 16.9080
_cell_length_b 5.0131
_cell_length_c 6.6744
_cell_angle_alpha 90.00
_cell_angle_beta 111.05
_cell_angle_gamma 90.00
_space_group_name_H-M_alt 'C 1 2/m 1'
_space_group_IT_number 12
_space_group_name_Hall '-C 2y'
loop_
_atom_site_label
_atom_site_fract_x
_atom_site_fract_y
_atom_site_fract_z
Ce1 0.0059 0.0000 0.2996
Ce2 0.1053 0.5000 0.4014
Ce3 0.1497 0.5000 0.8879
Ce4 0.1933 0.0000 0.1551
Zn1 0.1943 0.0000 0.6613
Tc1 0.0000 0.5000 0.0000
```

=====

Entry 2:
The following is a GGA-PBE calculation of a geometry-optimized Ce2ZnTc structure, from Alexandria via LeMat-Bulk.

```
data_Ce2ZnTc
_chemical_formula_sum 'Ce8 Zn4 Tc4'
_cell_length_a 9.9745
_cell_length_b 6.5417
_cell_length_c 5.2988
_cell_angle_alpha 90.00
_cell_angle_beta 100.91
_cell_angle_gamma 90.00
_space_group_name_H-M_alt 'P 1 21/c 1'
_space_group_IT_number 14
_space_group_name_Hall '-P 2ybc'
loop_
_atom_site_label
_atom_site_fract_x
_atom_site_fract_y
_atom_site_fract_z
Ce1 0.0939 0.1108 0.2847
Ce2 0.3670 0.6220 0.8699
Zn1 0.3646 0.1302 0.8766
Tc1 0.1553 0.6424 0.3040
```

=====

Entry 3:
The following is a GGA-PBE calculation of a geometry-optimized CeZn4Tc structure, from Alexandria via LeMat-Bulk.

```
data_CeZn4Tc
_chemical_formula_sum 'Ce4 Zn16 Tc4'
_cell_length_a 7.3419
_cell_length_b 7.3419
_cell_length_c 7.3419
_cell_angle_alpha 90.00
_cell_angle_beta 90.00
_cell_angle_gamma 90.00
_space_group_name_H-M_alt 'F -4 3 m'
_space_group_IT_number 216
_space_group_name_Hall 'F -4 2 3'
loop_
_atom_site_label
_atom_site_fract_x
_atom_site_fract_y
_atom_site_fract_z
Ce1 0.0000 0.0000 0.0000
Zn1 0.1235 0.1235 0.6235
Tc1 0.2500 0.2500 0.2500
```

=====

Entry 4:
The following is a GGA-PBE calculation of a geometry-optimized CeZn2Tc structure, from Alexandria via LeMat-Bulk.

```
data_CeZn2Tc
_chemical_formula_sum 'Ce2 Zn4 Tc2'
_cell_length_a 4.7560
_cell_length_b 6.5771
_cell_length_c 4.9399
_cell_angle_alpha 90.00
_cell_angle_beta 107.85
_cell_angle_gamma 90.00
_space_group_name_H-M_alt 'P 1 21/m 1'
_space_group_IT_number 11
_space_group_name_Hall '-P 2yb'
loop_
_atom_site_label
_atom_site_fract_x
_atom_site_fract_y
_atom_site_fract_z
Ce1 0.0453 0.2500 0.1306
Zn1 0.4173 0.0516 0.7222
Tc1 0.1065 0.7500 0.3779
```

=====

Entry 5:
The following is a GGA-PBE calculation of a geometry-optimized Ce2ZnTc structure, from Alexandria via LeMat-Bulk.

```
data_Ce2ZnTc
_chemical_formula_sum 'Ce2 Zn1 Tc1'
_cell_length_a 3.4375
_cell_length_b 3.4375
_cell_length_c 7.4975
_cell_angle_alpha 90.00
_cell_angle_beta 90.00
_cell_angle_gamma 90.00
_space_group_name_H-M_alt 'P 4/m m m'
_space_group_IT_number 123
_space_group_name_Hall '-P 4 2'
loop_
_atom_site_label
_atom_site_fract_x
_atom_site_fract_y
_atom_site_fract_z
Ce1 0.0000 0.0000 0.2294
Zn1 0.5000 0.5000 0.5000
Tc1 0.5000 0.5000 0.0000
```

=====

Entry 6:
The following is a GGA-PBE calculation of a geometry-optimized Ce2Zn16Tc structure, from Alexandria via LeMat-Bulk.

```
data_Ce2Zn16Tc
_chemical_formula_sum 'Ce6 Zn48 Tc3'
_cell_length_a 9.1758
_cell_length_b 9.1758
_cell_length_c 12.8527
_cell_angle_alpha 90.00
_cell_angle_beta 90.00
_cell_angle_gamma 120.00
_space_group_name_H-M_alt 'R 3 m'
_space_group_IT_number 160
_space_group_name_Hall 'R 3 -2"'
loop_
_atom_site_label
_atom_site_fract_x
_atom_site_fract_y
_atom_site_fract_z
Ce1 0.0000 0.0000 0.0000
Ce2 0.0000 0.0000 0.3534
Zn1 0.0000 0.0000 0.6031
Zn2 0.9999 0.2872 0.6964
Zn3 0.0087 0.5044 0.1941
Zn4 0.0142 0.5071 0.8424
Zn5 0.1726 0.3451 0.8747
Tc1 0.0000 0.0000 0.8173
```

=====

| no. | E (eV/cell) | formation enthalpy at 0 K (eV per atom) |
| --- | --- | --- |
| 1 | -122.14 | -0.06 |
| 2 | -96.31 | -0.14 |
| 3 | -88.65 | -0.13 |
| 4 | -39.56 | -0.23 |
| 5 | -24.00 | -0.12 |
| 6 | -138.74 | -0.19 |